1.
A plane-wave DFT calculation with PBE was carried out for a relaxed MnBiSCl2 crystal.

Formation energy (no corrections), eV per atom: 0.07

Structure (CIF):
```
data_MnBiSCl2
_symmetry_space_group_name_H-M 'P 4/m m m'
_symmetry_Int_Tables_number 123
_symmetry_space_group_name_Hall '-P 4 2'
_cell_length_a 5.450
_cell_length_b 5.450
_cell_length_c 5.381
_cell_angle_alpha 90.00
_cell_angle_beta 90.00
_cell_angle_gamma 90.00
loop_
_atom_site_label
_atom_site_fract_x
_atom_site_fract_y
_atom_site_fract_z
_atom_site_occupancy
Mn1 0.000 0.000 0.000 1
Bi1 0.500 0.500 0.500 1
S1 0.500 0.500 0.000 1
Cl1 0.000 0.500 0.500 1
```

2.
A plane-wave DFT calculation with PBE was carried out for a relaxed Ho3Er3Mg5 crystal.

Energy of formation, eV/atom: 0.637

Structure (CIF):
```
data_Ho3Er3Mg5
_symmetry_space_group_name_H-M 'P -6 2 m'
_symmetry_Int_Tables_number 189
_symmetry_space_group_name_Hall 'P -6 -2'
_cell_length_a 8.9372
_cell_length_b 8.9372
_cell_length_c 5.5054
_cell_angle_alpha 90.00
_cell_angle_beta 90.00
_cell_angle_gamma 120.00
loop_
_atom_site_label
_atom_site_fract_x
_atom_site_fract_y
_atom_site_fract_z
_atom_site_occupancy
Ho1 0.0000 0.5147 0.0000 1
Er1 0.0000 0.7657 0.5000 1
Mg1 0.0000 0.3884 0.5000 1
Mg2 0.3333 0.6667 0.5000 1
```

3.
A plane-wave DFT calculation with PBE was carried out for a relaxed KFe2Au crystal.

Energy of formation, eV/atom: 0.990

Structure (CIF):
```
data_KFe2Au
_symmetry_space_group_name_H-M 'F -4 3 m'
_symmetry_Int_Tables_number 216
_symmetry_space_group_name_Hall 'F -4 2 3'
_cell_length_a 6.724
_cell_length_b 6.724
_cell_length_c 6.724
_cell_angle_alpha 90.00
_cell_angle_beta 90.00
_cell_angle_gamma 90.00
loop_
_atom_site_label
_atom_site_fract_x
_atom_site_fract_y
_atom_site_fract_z
_atom_site_occupancy
K1 0.000 0.000 0.000 1
Fe1 0.000 0.000 0.500 1
Fe2 0.250 0.250 0.750 1
Au1 0.250 0.250 0.250 1
```

4.
A plane-wave DFT calculation with PBE was carried out for a relaxed PuZrNp2N4 crystal.

Formation energy (no corrections), eV per atom: -1.28

Structure (CIF):
```
data_PuZrNp2N4
_symmetry_space_group_name_H-M 'P 1 2/m 1'
_symmetry_Int_Tables_number 10
_symmetry_space_group_name_Hall '-P 2y'
_cell_length_a 5.884
_cell_length_b 3.378
_cell_length_c 5.917
_cell_angle_alpha 90.00
_cell_angle_beta 109.07
_cell_angle_gamma 90.00
loop_
_atom_site_label
_atom_site_fract_x
_atom_site_fract_y
_atom_site_fract_z
_atom_site_occupancy
Pu1 0.000 0.000 0.000 1
Zr1 0.000 0.500 0.500 1
Np1 0.500 0.000 0.500 1
Np2 0.500 0.500 0.000 1
N1 0.244 0.000 0.737 1
N2 0.250 0.500 0.264 1
```

5.
A plane-wave DFT calculation with PBE was carried out for a relaxed YAgSb2 crystal.

Formation energy (no corrections), eV per atom: -0.38

Structure (CIF):
```
data_YAgSb2
_symmetry_space_group_name_H-M 'I -4 2 d'
_symmetry_Int_Tables_number 122
_symmetry_space_group_name_Hall 'I -4 2bw'
_cell_length_a 8.082
_cell_length_b 8.082
_cell_length_c 6.439
_cell_angle_alpha 90.00
_cell_angle_beta 90.00
_cell_angle_gamma 90.00
loop_
_atom_site_label
_atom_site_fract_x
_atom_site_fract_y
_atom_site_fract_z
_atom_site_occupancy
Y1 0.000 0.000 0.000 1
Ag1 0.000 0.000 0.500 1
Sb1 0.217 0.250 0.625 1
```

6.
A plane-wave DFT calculation with PBE was carried out for a relaxed AgMoP2 crystal.

Energy of formation, eV/atom: 0.144

Structure (CIF):
```
data_AgMoP2
_symmetry_space_group_name_H-M 'P 4 m m'
_symmetry_Int_Tables_number 99
_symmetry_space_group_name_Hall 'P 4 -2'
_cell_length_a 3.290
_cell_length_b 3.290
_cell_length_c 5.809
_cell_angle_alpha 90.00
_cell_angle_beta 90.00
_cell_angle_gamma 90.00
loop_
_atom_site_label
_atom_site_fract_x
_atom_site_fract_y
_atom_site_fract_z
_atom_site_occupancy
Ag1 0.000 0.000 0.000 1
Mo1 0.500 0.500 0.353 1
P1 0.000 0.000 0.482 1
P2 0.500 0.500 0.768 1
```

7.
A plane-wave DFT calculation with PBE was carried out for a relaxed PrY2ScTe4 crystal.

Formation energy (no corrections), eV per atom: -1.27

Structure (CIF):
```
data_PrY2ScTe4
_symmetry_space_group_name_H-M 'P 1 2/m 1'
_symmetry_Int_Tables_number 10
_symmetry_space_group_name_Hall '-P 2y'
_cell_length_a 7.544
_cell_length_b 4.321
_cell_length_c 7.644
_cell_angle_alpha 90.00
_cell_angle_beta 108.92
_cell_angle_gamma 90.00
loop_
_atom_site_label
_atom_site_fract_x
_atom_site_fract_y
_atom_site_fract_z
_atom_site_occupancy
Pr1 0.000 0.000 0.000 1
Y1 0.500 0.000 0.500 1
Y2 0.500 0.500 0.000 1
Sc1 0.000 0.500 0.500 1
Te1 0.244 0.000 0.736 1
Te2 0.254 0.500 0.264 1
```

8.
A plane-wave DFT calculation with PBE was carried out for a relaxed KRu2Se crystal.

Formation energy (no corrections), eV per atom: 1.15

Structure (CIF):
```
data_KRu2Se
_symmetry_space_group_name_H-M 'C m m m'
_symmetry_Int_Tables_number 65
_symmetry_space_group_name_Hall '-C 2 2'
_cell_length_a 5.645
_cell_length_b 10.035
_cell_length_c 2.719
_cell_angle_alpha 90.00
_cell_angle_beta 90.00
_cell_angle_gamma 90.00
loop_
_atom_site_label
_atom_site_fract_x
_atom_site_fract_y
_atom_site_fract_z
_atom_site_occupancy
K1 0.000 0.000 0.000 1
Ru1 0.250 0.250 0.500 1
Se1 0.000 0.500 0.000 1
```

9.
A plane-wave DFT calculation with PBE was carried out for a relaxed Ce2NpIn crystal.

Energy of formation, eV/atom: 0.095

Structure (CIF):
```
data_Ce2NpIn
_symmetry_space_group_name_H-M 'R -3 m'
_symmetry_Int_Tables_number 166
_symmetry_space_group_name_Hall '-R 3 2"'
_cell_length_a 3.6224
_cell_length_b 3.6224
_cell_length_c 25.5657
_cell_angle_alpha 90.00
_cell_angle_beta 90.00
_cell_angle_gamma 120.00
loop_
_atom_site_label
_atom_site_fract_x
_atom_site_fract_y
_atom_site_fract_z
_atom_site_occupancy
Ce1 0.0000 0.0000 0.2285 1
Np1 0.0000 0.0000 0.5000 1
In1 0.0000 0.0000 0.0000 1
```

10.
A plane-wave DFT calculation with PBE was carried out for a relaxed Dy3ScRu2 crystal.

Energy of formation, eV/atom: -0.355

Structure (CIF):
```
data_Dy3ScRu2
_symmetry_space_group_name_H-M 'C m c m'
_symmetry_Int_Tables_number 63
_symmetry_space_group_name_Hall '-C 2c 2'
_cell_length_a 9.366
_cell_length_b 9.485
_cell_length_c 6.243
_cell_angle_alpha 90.00
_cell_angle_beta 90.00
_cell_angle_gamma 90.00
loop_
_atom_site_label
_atom_site_fract_x
_atom_site_fract_y
_atom_site_fract_z
_atom_site_occupancy
Dy1 0.000 0.075 0.250 1
Dy2 0.181 0.248 0.750 1
Sc1 0.000 0.438 0.250 1
Ru1 0.240 0.500 0.000 1
```

11.
A plane-wave DFT calculation with PBE was carried out for a relaxed CeHgPb crystal.

Energy of formation, eV/atom: -0.223

Structure (CIF):
```
data_CeHgPb
_symmetry_space_group_name_H-M 'P 4/n m m'
_symmetry_Int_Tables_number 129
_cell_length_a 4.716
_cell_length_b 4.716
_cell_length_c 8.101
_cell_angle_alpha 90.00
_cell_angle_beta 90.00
_cell_angle_gamma 90.00
loop_
_symmetry_equiv_pos_as_xyz
'x,y,z'
'-x,-y,-z'
'-y+1/2,x,z'
'y+1/2,-x,-z'
'-x+1/2,-y+1/2,z'
'x+1/2,y+1/2,-z'
'y,-x+1/2,z'
'-y,x+1/2,-z'
'x+1/2,-y,-z'
'-x+1/2,y,z'
'-y,-x,-z'
'y,x,z'
'-x,y+1/2,-z'
'x,-y+1/2,z'
'y+1/2,x+1/2,-z'
'-y+1/2,-x+1/2,z'
loop_
_atom_site_label
_atom_site_fract_x
_atom_site_fract_y
_atom_site_fract_z
_atom_site_occupancy
Ce1 0.250 0.250 0.179 1
Hg1 0.250 0.250 0.793 1
Pb1 0.250 0.750 0.500 1
```

12.
A plane-wave DFT calculation with PBE was carried out for a relaxed K2SrCdBi crystal.

Energy of formation, eV/atom: 0.255

Structure (CIF):
```
data_K2SrCdBi
_symmetry_space_group_name_H-M 'P 4/m m m'
_symmetry_Int_Tables_number 123
_symmetry_space_group_name_Hall '-P 4 2'
_cell_length_a 7.711
_cell_length_b 7.711
_cell_length_c 6.142
_cell_angle_alpha 90.00
_cell_angle_beta 90.00
_cell_angle_gamma 90.00
loop_
_atom_site_label
_atom_site_fract_x
_atom_site_fract_y
_atom_site_fract_z
_atom_site_occupancy
K1 0.000 0.500 0.000 1
Sr1 0.000 0.000 0.000 1
Cd1 0.500 0.500 0.500 1
Bi1 0.000 0.000 0.500 1
```

Number 1: ρ 3.81 g/cm3, total moment 1.20 μB per atom, E -20.513 eV for the cell shown. Number 2: ρ 4.88 g/cm3, total moment 0.23 μB per atom, E -28.387 eV for the cell shown. Number 3: ρ 7.60 g/cm3, total moment 1.41 μB per atom, E -69.364 eV for the cell shown. Number 4: ρ 12.92 g/cm3, total moment 0.67 μB per atom, E -92.332 eV for the cell shown. Number 5: ρ 6.95 g/cm3, total moment 0.00 μB per atom, E -76.290 eV for the cell shown. Number 6: ρ 7.02 g/cm3, total moment 0.00 μB per atom, E -23.927 eV for the cell shown. Number 7: ρ 6.16 g/cm3, total moment 0.00 μB per atom, E -46.752 eV for the cell shown. Number 8: ρ 6.91 g/cm3, total moment 0.77 μB per atom, E -37.029 eV for the cell shown. Number 9: ρ 10.84 g/cm3, total moment 0.00 μB per atom, E -81.499 eV for the cell shown. Number 10: ρ 8.80 g/cm3, total moment 0.00 μB per atom, E -163.281 eV for the cell shown. Number 11: ρ 10.10 g/cm3, total moment 0.60 μB per atom, E -21.223 eV for the cell shown. Number 12: ρ 2.22 g/cm3, total moment 0.00 μB per atom, E -7.398 eV for the cell shown.